[1]
Compound: KNaH6Au2
Source: Alexandria via LeMat-Bulk
Functional: PBE
Structure: optimized geometry

a = 6.9001 Å, b = 6.9001 Å, c = 5.8784 Å
α = 97.55°, β = 97.55°, γ = 85.56°
Closest atoms and distances in Å follow each position.
Sites, in units of the cell vectors:
K 0.1246 0.8754 0.7500  4 H 2.63-2.83
K 0.8754 0.1246 0.2500  4 H 2.63-2.83
Na 0.4083 0.5917 0.2500  4 H 2.18-2.40
Na 0.5917 0.4083 0.7500  4 H 2.18-2.40
H 0.0729 0.7490 0.2122  1 Au 1.63, 1 H 1.78
H 0.2243 0.2568 0.6255  1 Au 1.70
H 0.2510 0.9271 0.2878  1 Au 1.63, 1 H 1.78
H 0.2568 0.2243 0.1255  1 Au 1.70
H 0.2911 0.5469 0.8846  1 Au 1.67
H 0.4531 0.7089 0.6154  1 Au 1.67
H 0.5469 0.2911 0.3846  1 Au 1.67
H 0.7089 0.4531 0.1154  1 Au 1.67
H 0.7432 0.7757 0.8745  1 Au 1.70
H 0.7490 0.0729 0.7122  1 Au 1.63, 1 H 1.78
H 0.7757 0.7432 0.3745  1 Au 1.70
H 0.9271 0.2510 0.7878  1 Au 1.63, 1 H 1.78
Au 0.1127 0.3904 0.8422  3 H 1.63-1.70
Au 0.3904 0.1127 0.3422  3 H 1.63-1.70
Au 0.6096 0.8873 0.6578  3 H 1.63-1.70
Au 0.8873 0.6096 0.1578  3 H 1.63-1.70

Results
- E (eV/atom) = -3.00

***

[2]
Compound: KNaH6Au3
Source: Alexandria via LeMat-Bulk
Functional: PBE
Structure: optimized geometry

a = 5.3931 Å, b = 5.3931 Å, c = 5.3931 Å
α = 94.19°, β = 94.19°, γ = 94.19°
Closest atoms and distances in Å follow each position.
Sites, in units of the cell vectors:
K 0.0000 0.0000 0.0000  9 H 2.77-3.01
Na 0.6297 0.6297 0.6297  12 H 2.88-3.16, 6 Au 3.04-3.15, 1 K 3.20
H 0.1040 0.6033 0.3402  2 Au 1.80-1.91
H 0.1087 0.5206 0.8495  2 Au 1.81-1.87
H 0.3402 0.1040 0.6033  2 Au 1.80-1.91
H 0.5206 0.8495 0.1087  2 Au 1.81-1.87
H 0.6033 0.3402 0.1040  2 Au 1.80-1.91
H 0.8495 0.1087 0.5206  2 Au 1.81-1.87
Au 0.1152 0.3552 0.5453  4 H 1.80-1.91
Au 0.3552 0.5453 0.1152  4 H 1.80-1.91
Au 0.5453 0.1152 0.3552  4 H 1.80-1.91

Results
- E (eV/atom) = -2.91

***

[3]
Compound: K3NaH6Au2
Source: Alexandria via LeMat-Bulk
Functional: PBE
Structure: optimized geometry

a = 6.0758 Å, b = 6.0758 Å, c = 7.1073 Å
α = 90.00°, β = 90.00°, γ = 120.00°
Closest atoms and distances in Å follow each position.
Sites, in units of the cell vectors:
K 0.0000 0.0000 0.0000  6 H 2.63
K 0.3333 0.6667 0.7256  6 H 3.04, 1 Au 3.26
K 0.6667 0.3333 0.2744  6 H 3.04, 1 Au 3.26
Na 0.0000 0.0000 0.5000  6 H 2.40
H 0.1685 0.3370 0.2733  1 Au 1.74
H 0.1685 0.8315 0.2733  1 Au 1.74
H 0.3370 0.1685 0.7267  1 Au 1.74
H 0.6630 0.8315 0.2733  1 Au 1.74
H 0.8315 0.1685 0.7267  1 Au 1.74
H 0.8315 0.6630 0.7267  1 Au 1.74
Au 0.3333 0.6667 0.2663  3 H 1.74
Au 0.6667 0.3333 0.7337  3 H 1.74

Results
- E (eV/atom) = -2.81

***

[4]
Compound: K2NaH4Au
Source: Alexandria via LeMat-Bulk
Functional: PBE
Structure: optimized geometry

a = 12.0728 Å, b = 10.9631 Å, c = 6.3215 Å
α = 84.04°, β = 64.58°, γ = 31.38°
Closest atoms and distances in Å follow each position.
Sites, in units of the cell vectors:
K 0.0518 0.0518 0.6982  4 H 2.98-3.15
K 0.3018 0.3018 0.9482  4 H 2.98-3.15
K 0.6982 0.6982 0.0518  4 H 2.98-3.15
K 0.9482 0.9482 0.3018  4 H 2.98-3.15
Na 0.1250 0.1250 0.1250  4 H 2.26
Na 0.8750 0.8750 0.8750  4 H 2.26
H 0.0476 0.6062 0.5121  1 Au 1.79
H 0.3341 0.5121 0.6062  1 Au 1.79
H 0.3938 0.9524 0.6659  1 Au 1.79
H 0.4879 0.6659 0.9524  1 Au 1.79
H 0.5121 0.3341 0.0476  1 Au 1.79
H 0.6062 0.0476 0.3341  1 Au 1.79
H 0.6659 0.4879 0.3938  1 Au 1.79
H 0.9524 0.3938 0.4879  1 Au 1.79
Au 0.3750 0.3750 0.3750  4 H 1.79
Au 0.6250 0.6250 0.6250  4 H 1.79

Results
- E (eV/atom) = -2.64